Computed, not measured: an optimized crystal structure of Er2CN2O2 at the GGA-PBEsol level of DFT.

Summary:
N(E_F)   0.0 states/eV/f.u.
Uncorrected formation energy   -2.2837 eV per atom
V   92.6 Å³/cell
M_tot   0.00 μB per formula unit

Lattice parameters (Å, degrees): 3.641 3.641 8.069 90.00 90.00 120.00
Positions (direct):
1 N 0.000 0.000 0.653
2 N 0.000 0.000 0.347
3 O 0.333 0.667 0.898
4 O 0.667 0.333 0.102
5 Er 0.667 0.333 0.824
6 Er 0.333 0.667 0.176
7 C 0.000 0.000 0.500



Computed, not measured: an optimized crystal structure of Er2Si4CN6 at the GGA-PBEsol level of DFT.

Summary:
N(E_F)   0.0 states/eV/f.u.
Uncorrected formation energy   -1.3696 eV per atom
V   595.9 Å³/cell
M_tot   0.00 μB per formula unit

Lattice parameters (Å, degrees): 5.881 9.880 10.256 90.00 89.73 90.00
Positions (direct):
1 N 0.724 0.261 0.752
2 N 0.842 0.456 0.099
3 N 0.068 0.552 0.634
4 N 0.975 0.033 0.774
5 N 0.469 0.291 0.491
6 N 0.992 0.211 0.500
7 N 0.525 0.533 0.726
8 N 0.969 0.209 0.991
9 N 0.776 0.761 0.748
10 N 0.658 0.956 0.401
11 N 0.008 0.789 0.500
12 N 0.276 0.739 0.248
13 N 0.508 0.711 0.000
14 N 0.158 0.544 0.901
15 N 0.568 0.948 0.134
16 N 0.432 0.052 0.866
17 N 0.492 0.289 0.000
18 N 0.031 0.791 0.009
19 N 0.475 0.467 0.274
20 N 0.224 0.239 0.252
21 N 0.531 0.709 0.509
22 N 0.342 0.044 0.599
23 N 0.932 0.448 0.366
24 N 0.025 0.967 0.226
25 C 0.726 0.210 0.248
26 C 0.274 0.790 0.752
27 C 0.226 0.290 0.748
28 C 0.774 0.710 0.252
29 Si 0.247 0.478 0.751
30 Si 0.245 0.713 0.921
31 Si 0.978 0.274 0.341
32 Si 0.745 0.787 0.421
33 Si 0.253 0.978 0.749
34 Si 0.527 0.703 0.677
35 Si 0.755 0.287 0.079
36 Si 0.753 0.522 0.249
37 Si 0.255 0.213 0.579
38 Si 0.027 0.797 0.177
39 Si 0.473 0.297 0.323
40 Si 0.022 0.726 0.659
41 Si 0.973 0.203 0.823
42 Si 0.478 0.226 0.841
43 Si 0.522 0.774 0.159
44 Si 0.747 0.022 0.251
45 Er 0.237 0.588 0.417
46 Er 0.734 0.069 0.594
47 Er 0.763 0.412 0.583
48 Er 0.234 0.431 0.094
49 Er 0.263 0.088 0.083
50 Er 0.737 0.912 0.917
51 Er 0.266 0.931 0.406
52 Er 0.766 0.569 0.906



Computed, not measured: an optimized crystal structure of Na2ErPCO7 at the GGA-PBEsol level of DFT.

Summary:
N(E_F)   0.0 states/eV/f.u.
Uncorrected formation energy   -2.3810 eV per atom
V   324.8 Å³/cell
M_tot   0.00 μB per formula unit

Lattice parameters (Å, degrees): 5.054 6.899 9.316 90.00 90.84 90.00
Positions (direct):
1 O 0.230 0.250 0.419
2 O 0.290 0.750 0.051
3 O 0.389 0.750 0.405
4 O 0.970 0.250 0.149
5 O 0.710 0.250 0.949
6 O 0.030 0.750 0.851
7 O 0.810 0.934 0.347
8 O 0.190 0.066 0.653
9 O 0.770 0.750 0.581
10 O 0.538 0.250 0.172
11 O 0.190 0.434 0.653
12 O 0.462 0.750 0.828
13 O 0.810 0.566 0.347
14 O 0.611 0.250 0.595
15 Na 0.242 0.990 0.211
16 Na 0.242 0.510 0.211
17 Na 0.758 0.010 0.789
18 Na 0.758 0.490 0.789
19 C 0.740 0.250 0.083
20 C 0.260 0.750 0.917
21 P 0.303 0.250 0.583
22 P 0.697 0.750 0.417
23 Er 0.220 0.750 0.628
24 Er 0.780 0.250 0.372



Computed, not measured: an optimized crystal structure of ErCO4 at the GGA-PBEsol level of DFT.

Summary:
Uncorrected formation energy   -2.0368 eV per atom
V   289.6 Å³/cell
M_tot   1.00 μB per formula unit
Offset from the most stable computed form   5.4 kJ/mol of atoms

Lattice parameters (Å, degrees): 4.703 7.062 8.720 90.00 90.00 90.00
Site moments in Bohr magnetons follow the coordinates.
Positions (direct):
1 O 0.547 0.926 0.271  0.01
2 O 0.953 0.074 0.771  0.01
3 O 0.666 0.120 0.074  0.03
4 O 0.786 0.563 0.370  0.14
5 O 0.527 0.334 0.642  0.66
6 O 0.214 0.063 0.130  0.14
7 O 0.047 0.574 0.729  0.01
8 O 0.714 0.437 0.870  0.14
9 O 0.834 0.880 0.574  0.03
10 O 0.334 0.620 0.426  0.03
11 O 0.473 0.834 0.858  0.66
12 O 0.166 0.380 0.926  0.03
13 O 0.453 0.426 0.229  0.01
14 O 0.973 0.666 0.142  0.66
15 O 0.286 0.937 0.630  0.14
16 O 0.027 0.166 0.358  0.66
17 C 0.517 0.536 0.339  0.00
18 C 0.983 0.464 0.839  0.00
19 C 0.017 0.964 0.661  0.00
20 C 0.483 0.036 0.161  0.00
21 Er 0.035 0.858 0.331  -0.02
22 Er 0.965 0.358 0.169  -0.02
23 Er 0.465 0.142 0.831  -0.02
24 Er 0.535 0.642 0.669  -0.02